The following is a DFT calculation (GGA-PBE) of Tb6CeSm2Er3 after structural relaxation. Values from VASP.

Calculated values
ΔE_f: 0.0381 eV per atom

Geometry as Quantum ESPRESSO input:
```
&SYSTEM
  ibrav = 0, nat = 12, ntyp = 4
/
ATOMIC_SPECIES
Tb 158.93 Tb.upf
Ce 140.12 Ce.upf
Sm 150.36 Sm.upf
Er 167.26 Er.upf
CELL_PARAMETERS angstrom
-0.0808 -5.7691 -2.1656
4.9585 2.0947 3.0007
-6.1363 -2.4799 9.7601
ATOMIC_POSITIONS crystal
Tb 0.9153 0.5844 0.7478
Tb 0.7536 0.7536 0.2525
Tb 0.0847 0.4156 0.2522
Tb 0.5844 0.9153 0.7478
Tb 0.2464 0.2464 0.7475
Tb 0.4156 0.0847 0.2522
Ce 0.0000 0.0000 0.0000
Sm 0.3335 0.6665 0.0000
Sm 0.6665 0.3335 0.0000
Er 0.1670 0.8330 0.5000
Er 0.8330 0.1670 0.5000
Er 0.5000 0.5000 0.5000
```


The following is a DFT calculation (GGA-PBE) of La2Sb3Pd3 after structural relaxation. Values from VASP.

Calculated values
Formation energy from raw total energies: 182.6 meV/atom

Geometry as Quantum ESPRESSO input:
```
&SYSTEM
  ibrav = 0, nat = 8, ntyp = 3
/
ATOMIC_SPECIES
La 138.91 La.upf
Sb 121.76 Sb.upf
Pd 106.42 Pd.upf
CELL_PARAMETERS angstrom
3.0816 0.0000 0.0000
0.0000 3.0816 0.0000
0.0000 0.0000 22.3122
ATOMIC_POSITIONS crystal
La 0.5000 0.5000 0.7623
La 0.5000 0.5000 0.2377
Sb 0.5000 0.5000 0.3846
Sb 0.5000 0.5000 0.6154
Sb 0.5000 0.5000 0.0000
Pd 0.5000 0.5000 0.1215
Pd 0.5000 0.5000 0.8785
Pd 0.5000 0.5000 0.5000
```


The following is a DFT calculation (GGA-PBE) of Cs2ZnHF6 after structural relaxation. Values from VASP.

Calculated values
Energy: -36.24 eV/cell

Geometry as Quantum ESPRESSO input:
```
&SYSTEM
  ibrav = 0, nat = 10, ntyp = 4
/
ATOMIC_SPECIES
Cs 132.91 Cs.upf
H 1.01 H.upf
Zn 65.41 Zn.upf
F 19.00 F.upf
CELL_PARAMETERS angstrom
-3.4789 -2.9595 3.2051
-0.4512 -3.8334 -4.0294
2.2565 -6.0927 1.6803
ATOMIC_POSITIONS crystal
Cs 0.7500 0.2500 0.5000
Cs 0.2500 0.7500 0.5000
H 0.5000 0.5000 0.0000
Zn 0.0000 0.0000 0.0000
F 0.1729 0.1729 0.6543
F 0.8271 0.8271 0.3457
F 0.2936 0.2936 0.0000
F 0.7064 0.7064 0.0000
F 0.7064 0.2936 0.0000
F 0.2936 0.7064 0.0000
```


The following is a DFT calculation (GGA-PBE) of CaScSi2 after structural relaxation. Values from VASP.

Calculated values
Formation energy from raw total energies: 201.8 meV/atom
Excess energy over the best structure of this formula in the dataset: 652.7 meV per atom

Geometry as Quantum ESPRESSO input:
```
&SYSTEM
  ibrav = 0, nat = 4, ntyp = 3
/
ATOMIC_SPECIES
Ca 40.08 Ca.upf
Sc 44.96 Sc.upf
Si 28.09 Si.upf
CELL_PARAMETERS angstrom
-4.6832 -1.1395 -0.6144
-2.3787 -2.4476 3.4582
-3.4104 2.2305 2.6462
ATOMIC_POSITIONS crystal
Ca 0.5000 0.5000 0.5000
Sc 0.2500 0.2500 0.2500
Si 0.0000 0.0000 0.0000
Si 0.7500 0.7500 0.7500
```


The following is a DFT calculation (GGA-PBE) of Ho9Er2Tm after structural relaxation. Values from VASP.

Calculated values
ΔE_f: 0.0228 eV per atom
Excess energy over the best structure of this formula in the dataset: 0.0 meV per atom

Geometry as Quantum ESPRESSO input:
```
&SYSTEM
  ibrav = 0, nat = 12, ntyp = 3
/
ATOMIC_SPECIES
Ho 164.93 Ho.upf
Er 167.26 Er.upf
Tm 168.93 Tm.upf
CELL_PARAMETERS angstrom
4.9665 0.0000 0.0000
0.0000 4.9665 0.0000
0.0000 0.0000 14.8840
ATOMIC_POSITIONS crystal
Ho 0.5000 0.5000 0.0000
Ho 0.5000 0.5000 0.3331
Ho 0.5000 0.5000 0.6669
Ho 0.5000 0.0000 0.1665
Ho 0.5000 0.0000 0.5000
Ho 0.5000 0.0000 0.8335
Ho 0.0000 0.5000 0.1665
Ho 0.0000 0.5000 0.5000
Ho 0.0000 0.5000 0.8335
Er 0.0000 0.0000 0.3333
Er 0.0000 0.0000 0.6667
Tm 0.0000 0.0000 0.0000
```


The following is a DFT calculation (GGA-PBE) of TaInRe2 after structural relaxation. Values from VASP.

Calculated values
ΔE_f: 0.1487 eV per atom

Geometry as Quantum ESPRESSO input:
```
&SYSTEM
  ibrav = 0, nat = 4, ntyp = 3
/
ATOMIC_SPECIES
In 114.82 In.upf
Re 186.21 Re.upf
Ta 180.95 Ta.upf
CELL_PARAMETERS angstrom
2.8827 0.5171 0.0000
-0.5179 2.8826 0.0000
0.0000 0.0000 8.0989
ATOMIC_POSITIONS crystal
In 0.5000 0.5000 0.7647
Re 0.0000 0.0000 0.0300
Re 0.5000 0.5000 0.2279
Ta 0.0000 0.0000 0.4773
```


The following is a DFT calculation (GGA-PBE) of La2PmDy after structural relaxation. Values from VASP.

Calculated values
ΔE_f: 0.1499 eV per atom
Excess energy over the best structure of this formula in the dataset: 138.6 meV per atom

Geometry as Quantum ESPRESSO input:
```
&SYSTEM
  ibrav = 0, nat = 4, ntyp = 3
/
ATOMIC_SPECIES
Pm 145.00 Pm.upf
La 138.91 La.upf
Dy 162.50 Dy.upf
CELL_PARAMETERS angstrom
-3.4828 -0.6988 0.2696
-1.2854 -3.1173 -1.1492
0.3190 -6.3220 11.2706
ATOMIC_POSITIONS crystal
Pm 0.0000 0.0000 0.0000
La 0.0887 0.0887 0.7340
La 0.9113 0.9113 0.2660
Dy 0.5000 0.5000 0.5000
```


The following is a DFT calculation (GGA-PBE) of CaTl3Hg3 after structural relaxation. Values from VASP.

Calculated values
ΔE_f: 0.2238 eV per atom
Excess energy over the best structure of this formula in the dataset: 369.7 meV per atom

Geometry as Quantum ESPRESSO input:
```
&SYSTEM
  ibrav = 0, nat = 14, ntyp = 3
/
ATOMIC_SPECIES
Tl 204.38 Tl.upf
Ca 40.08 Ca.upf
Hg 200.59 Hg.upf
CELL_PARAMETERS angstrom
-0.1628 8.2045 -1.0780
-2.8312 0.9579 7.7181
7.7756 0.5205 2.7877
ATOMIC_POSITIONS crystal
Tl 0.0000 0.2500 0.5000
Tl 0.0000 0.7500 0.5000
Tl 0.5000 0.0000 0.7500
Tl 0.7500 0.5000 0.0000
Tl 0.5000 0.0000 0.2500
Tl 0.2500 0.5000 0.0000
Ca 0.5000 0.5000 0.5000
Ca 0.0000 0.0000 0.0000
Hg 0.2500 0.0000 0.5000
Hg 0.0000 0.5000 0.2500
Hg 0.5000 0.7500 0.0000
Hg 0.7500 0.0000 0.5000
Hg 0.0000 0.5000 0.7500
Hg 0.5000 0.2500 0.0000
```


The following is a DFT calculation (GGA-PBE) of AlSiAs2 after structural relaxation. Values from VASP.

Calculated values
Formation energy from raw total energies: 102.0 meV/atom
Excess energy over the best structure of this formula in the dataset: 150.3 meV per atom

Geometry as Quantum ESPRESSO input:
```
&SYSTEM
  ibrav = 0, nat = 4, ntyp = 3
/
ATOMIC_SPECIES
As 74.92 As.upf
Si 28.09 Si.upf
Al 26.98 Al.upf
CELL_PARAMETERS angstrom
5.0189 0.0000 0.0000
0.0000 2.8813 0.0190
0.0000 2.8481 5.0445
ATOMIC_POSITIONS crystal
As 0.0000 0.2076 0.8750
As 0.5000 0.2943 0.3749
Si 0.0000 0.4938 0.3751
Al 0.5000 0.5044 0.8750
```


The following is a DFT calculation (GGA-PBE) of Ni2Te3Pb after structural relaxation. Values from VASP.

Calculated values
Formation energy from raw total energies: -185.3 meV/atom

Geometry as Quantum ESPRESSO input:
```
&SYSTEM
  ibrav = 0, nat = 12, ntyp = 3
/
ATOMIC_SPECIES
Ni 58.69 Ni.upf
Te 127.60 Te.upf
Pb 207.20 Pb.upf
CELL_PARAMETERS angstrom
-4.9768 -5.5699 1.4006
1.0935 -6.9087 -2.9712
1.8880 -5.7680 4.3879
ATOMIC_POSITIONS crystal
Ni 0.0000 0.0000 0.0000
Ni 0.5000 0.0000 0.0000
Ni 0.5000 0.5000 0.0000
Ni 0.0000 0.5000 0.0000
Te 0.2401 0.7350 0.7848
Te 0.7350 0.2401 0.7848
Te 0.2401 0.2401 0.7848
Te 0.2650 0.7599 0.2152
Te 0.7599 0.2650 0.2152
Te 0.7599 0.7599 0.2152
Pb 0.2379 0.2379 0.2863
Pb 0.7621 0.7621 0.7137
```


The following is a DFT calculation (GGA-PBE) of AgTePO2 after structural relaxation. Values from VASP.

Calculated values
Formation energy from raw total energies: 546.6 meV/atom
Excess energy over the best structure of this formula in the dataset: 648.5 meV per atom

Geometry as Quantum ESPRESSO input:
```
&SYSTEM
  ibrav = 0, nat = 5, ntyp = 4
/
ATOMIC_SPECIES
P 30.97 P.upf
Te 127.60 Te.upf
O 16.00 O.upf
Ag 107.87 Ag.upf
CELL_PARAMETERS angstrom
4.0938 0.0000 0.0000
0.0000 4.0938 0.0000
0.0000 0.0000 4.8707
ATOMIC_POSITIONS crystal
P 0.0000 0.0000 0.5000
Te 0.5000 0.5000 0.5000
O 0.0000 0.5000 0.0000
O 0.5000 0.0000 0.0000
Ag 0.0000 0.0000 0.0000
```


The following is a DFT calculation (GGA-PBE) of Sm2CuSi4Ir3 after structural relaxation. Values from VASP.

Calculated values
Formation energy from raw total energies: -897.4 meV/atom

Geometry as Quantum ESPRESSO input:
```
&SYSTEM
  ibrav = 0, nat = 10, ntyp = 4
/
ATOMIC_SPECIES
Sm 150.36 Sm.upf
Cu 63.55 Cu.upf
Si 28.09 Si.upf
Ir 192.22 Ir.upf
CELL_PARAMETERS angstrom
-3.5522 -1.9282 1.0417
1.3378 -0.3363 3.9394
-4.1034 8.7141 2.1374
ATOMIC_POSITIONS crystal
Sm 0.5000 0.0000 0.2454
Sm 0.0000 0.5000 0.7546
Cu 0.5000 0.5000 0.5000
Si 0.5000 0.5000 0.0000
Si 0.0000 0.0000 0.0000
Si 0.5000 0.0000 0.6308
Si 0.0000 0.5000 0.3692
Ir 0.0000 0.0000 0.5000
Ir 0.5000 0.0000 0.8737
Ir 0.0000 0.5000 0.1263
```


The following is a DFT calculation (GGA-PBE) of Ba5Na4Hg after structural relaxation. Values from VASP.

Calculated values
ΔE_f: -0.1006 eV per atom

Geometry as Quantum ESPRESSO input:
```
&SYSTEM
  ibrav = 0, nat = 10, ntyp = 3
/
ATOMIC_SPECIES
Ba 137.33 Ba.upf
Na 22.99 Na.upf
Hg 200.59 Hg.upf
CELL_PARAMETERS angstrom
-1.8078 -3.7193 1.4167
0.2655 -1.6652 -4.0329
22.7249 -9.0523 5.2335
ATOMIC_POSITIONS crystal
Ba 0.5000 0.5000 0.0782
Ba 0.5000 0.5000 0.2912
Ba 0.5000 0.5000 0.5000
Ba 0.5000 0.5000 0.7088
Ba 0.5000 0.5000 0.9218
Na 0.0000 0.0000 0.1857
Na 0.0000 0.0000 0.3959
Na 0.0000 0.0000 0.6041
Na 0.0000 0.0000 0.8143
Hg 0.0000 0.0000 0.0000
```


The following is a DFT calculation (GGA-PBE) of ReAg3 after structural relaxation. Values from VASP.

Calculated values
ΔE_f: 0.6090 eV per atom
Excess energy over the best structure of this formula in the dataset: 221.0 meV per atom

Geometry as Quantum ESPRESSO input:
```
&SYSTEM
  ibrav = 0, nat = 4, ntyp = 2
/
ATOMIC_SPECIES
Re 186.21 Re.upf
Ag 107.87 Ag.upf
CELL_PARAMETERS angstrom
5.0382 -0.0017 0.0001
4.3145 2.6017 0.0001
-10.0056 -2.7815 5.1584
ATOMIC_POSITIONS crystal
Re 0.0000 0.0000 0.2500
Ag 0.0089 0.0089 0.0056
Ag 0.9911 0.9911 0.4944
Ag 0.0000 0.0000 0.7500
```


The following is a DFT calculation (GGA-PBE) of HfScPO2 after structural relaxation. Values from VASP.

Calculated values
Formation energy from raw total energies: -1524.3 meV/atom
Excess energy over the best structure of this formula in the dataset: 569.2 meV per atom

Geometry as Quantum ESPRESSO input:
```
&SYSTEM
  ibrav = 0, nat = 5, ntyp = 4
/
ATOMIC_SPECIES
Sc 44.96 Sc.upf
P 30.97 P.upf
Hf 178.49 Hf.upf
O 16.00 O.upf
CELL_PARAMETERS angstrom
3.9205 0.0000 0.0000
0.0000 3.9205 0.0000
0.0000 0.0000 5.1362
ATOMIC_POSITIONS crystal
Sc 0.0000 0.0000 0.0000
P 0.0000 0.0000 0.5000
Hf 0.5000 0.5000 0.5000
O 0.0000 0.5000 0.0000
O 0.5000 0.0000 0.0000
```


The following is a DFT calculation (GGA-PBE) of HfV2Si after structural relaxation. Values from VASP.

Calculated values
Formation energy from raw total energies: -227.5 meV/atom

Geometry as Quantum ESPRESSO input:
```
&SYSTEM
  ibrav = 0, nat = 4, ntyp = 3
/
ATOMIC_SPECIES
Si 28.09 Si.upf
Hf 178.49 Hf.upf
V 50.94 V.upf
CELL_PARAMETERS angstrom
-1.7187 -3.7655 1.2147
1.6947 -1.7105 -2.9045
3.0170 -0.6800 2.1608
ATOMIC_POSITIONS crystal
Si 0.5000 0.5000 0.5000
Hf 0.5000 0.0000 0.0000
V 0.0000 0.0000 0.5000
V 0.0000 0.5000 0.0000
```


The following is a DFT calculation (GGA-PBE) of Pr3Nd7Sm2 after structural relaxation. Values from VASP.

Calculated values
ΔE_f: 0.0696 eV per atom
Excess energy over the best structure of this formula in the dataset: 0.0 meV per atom

Geometry as Quantum ESPRESSO input:
```
&SYSTEM
  ibrav = 0, nat = 12, ntyp = 3
/
ATOMIC_SPECIES
Pr 140.91 Pr.upf
Nd 144.24 Nd.upf
Sm 150.36 Sm.upf
CELL_PARAMETERS angstrom
-3.5493 0.1906 -0.6830
-0.4404 -6.5238 0.4680
-3.6127 -3.1015 17.9072
ATOMIC_POSITIONS crystal
Pr 0.5000 0.5000 0.0000
Pr 0.0000 0.1134 0.3386
Pr 0.0000 0.8866 0.6614
Nd 0.5000 0.2424 0.5017
Nd 0.5000 0.7576 0.4983
Nd 0.0000 0.5608 0.1672
Nd 0.0000 0.0000 0.0000
Nd 0.0000 0.4392 0.8328
Nd 0.5000 0.9447 0.8319
Nd 0.5000 0.0553 0.1681
Sm 0.5000 0.6141 0.3299
Sm 0.5000 0.3859 0.6701
```


The following is a DFT calculation (GGA-PBE) of Fe2CoIr5 after structural relaxation. Values from VASP.

Calculated values
ΔE_f: -0.0125 eV per atom

Geometry as Quantum ESPRESSO input:
```
&SYSTEM
  ibrav = 0, nat = 8, ntyp = 3
/
ATOMIC_SPECIES
Fe 55.84 Fe.upf
Co 58.93 Co.upf
Ir 192.22 Ir.upf
CELL_PARAMETERS angstrom
-2.2984 -3.6661 -3.1343
5.0219 -0.7237 1.6744
-1.6541 0.5777 5.0475
ATOMIC_POSITIONS crystal
Fe 0.5000 0.2223 0.7223
Fe 0.5000 0.7223 0.2223
Co 0.0000 0.2222 0.2222
Ir 0.5000 0.7222 0.7222
Ir 0.0000 0.2223 0.7222
Ir 0.0000 0.7222 0.2223
Ir 0.5000 0.2223 0.2223
Ir 0.0000 0.7223 0.7223
```


The following is a DFT calculation (GGA-PBE) of VNiI2N after structural relaxation. Values from VASP.

Calculated values
Formation energy from raw total energies: 948.1 meV/atom
Excess energy over the best structure of this formula in the dataset: 440.0 meV per atom

Geometry as Quantum ESPRESSO input:
```
&SYSTEM
  ibrav = 0, nat = 5, ntyp = 4
/
ATOMIC_SPECIES
I 126.90 I.upf
Ni 58.69 Ni.upf
N 14.01 N.upf
V 50.94 V.upf
CELL_PARAMETERS angstrom
5.4646 0.0000 0.0000
0.0000 5.4646 0.0000
0.0000 0.0000 3.4658
ATOMIC_POSITIONS crystal
I 0.0000 0.5000 0.0000
I 0.5000 0.0000 0.0000
Ni 0.0000 0.0000 0.0000
N 0.0000 0.0000 0.5000
V 0.5000 0.5000 0.5000
```


The following is a DFT calculation (GGA-PBE) of HfAs2PSe after structural relaxation. Values from VASP.

Calculated values
Formation energy from raw total energies: 546.9 meV/atom
Excess energy over the best structure of this formula in the dataset: 135.7 meV per atom

Geometry as Quantum ESPRESSO input:
```
&SYSTEM
  ibrav = 0, nat = 5, ntyp = 4
/
ATOMIC_SPECIES
P 30.97 P.upf
As 74.92 As.upf
Hf 178.49 Hf.upf
Se 78.96 Se.upf
CELL_PARAMETERS angstrom
5.2165 0.0000 0.0000
0.0000 5.2165 0.0000
0.0000 0.0000 5.0243
ATOMIC_POSITIONS crystal
P 0.5000 0.5000 0.5000
As 0.0000 0.5000 0.0000
As 0.5000 0.0000 0.0000
Hf 0.0000 0.0000 0.0000
Se 0.0000 0.0000 0.5000
```


| no. | M_tot (μB/f.u.) |
| --- | --- |
| 1 | 1.050 |
| 2 | 0.000 |
| 3 | 1.017 |
| 4 | 0.000 |
| 5 | 0.000 |
| 6 | 0.000 |
| 7 | 0.000 |
| 8 | 0.000 |
| 9 | 0.000 |
| 10 | 0.000 |
| 11 | 0.000 |
| 12 | 0.000 |
| 13 | 0.000 |
| 14 | 0.879 |
| 15 | 0.000 |
| 16 | 0.000 |
| 17 | 0.000 |
| 18 | 6.444 |
| 19 | 0.451 |
| 20 | 1.001 |